A plane-wave DFT calculation with PBE+U was carried out for a geometry-optimized KCrOsO6 structure.

## Properties
Size of the total moment   3.00 μB/f.u.
Total DFT energy (no corrections)   -0.252 Ha/atom

Cell lengths 5.222, 9.041, 5.947 Å; angles 90.00, 90.07, 90.00 degrees
Space group C2 (No. 5)
Inequivalent atoms, fractional coordinates:
K  0.000  0.000  0.000 x2
Cr  0.000  0.667  0.500 x2
Os  0.000  0.333  0.500 x2
O  0.111  0.492  0.679 x4
O  0.183  0.199  0.680 x4
O  0.207  0.810  0.680 x4